# 1
{
  "formula": "Ge2Sb2Pt",
  "functional": "PBE",
  "state": "relaxed",
  "cell": [[3.599, 0.000, 0.000], [0.000, 3.599, 0.000], [1.799, 1.799, 8.543]],
  "species": ["Pt", "Ge", "Ge", "Sb", "Sb"],
  "frac_coords": [[0.000, 0.000, 0.000], [0.750, 0.250, 0.500], [0.250, 0.750, 0.500], [0.410, 0.410, 0.181], [0.590, 0.590, 0.819]],
  "dos_ef_per_ev_atom": 0.581,
  "de_polymorph_mev_per_atom": 80,
  "spacegroup": "No. 139"
}


# 2
{
  "formula": "Ge2Sb2Pt",
  "functional": "PBE",
  "state": "relaxed",
  "cell": [[7.293, 0.000, 0.000], [0.000, 7.293, 0.000], [0.000, 0.000, 4.453]],
  "species": ["Pt", "Pt", "Sb", "Sb", "Sb", "Sb", "Ge", "Ge", "Ge", "Ge"],
  "frac_coords": [[0.000, 0.000, 0.000], [0.500, 0.500, 0.000], [0.173, 0.327, 0.000], [0.327, 0.827, 0.000], [0.827, 0.673, 0.000], [0.673, 0.173, 0.000], [0.869, 0.369, 0.500], [0.631, 0.869, 0.500], [0.369, 0.131, 0.500], [0.131, 0.631, 0.500]],
  "dos_ef_per_ev_atom": 0.385,
  "de_polymorph_mev_per_atom": 143,
  "spacegroup": "No. 127"
}


# 3
{
  "formula": "Ge3SbPt",
  "functional": "PBE",
  "state": "relaxed",
  "cell": [[-2.558, 2.230, 3.571], [1.374, -3.507, 3.175], [3.980, 2.645, 1.200]],
  "species": ["Pt", "Sb", "Ge", "Ge", "Ge"],
  "frac_coords": [[0.000, 0.000, 0.000], [0.500, 0.500, 0.500], [0.500, 0.000, 0.000], [0.000, 0.500, 0.000], [0.000, 0.000, 0.500]],
  "dos_ef_per_ev_atom": 0.387,
  "de_polymorph_mev_per_atom": 0,
  "spacegroup": "No. 221"
}


# 4
{
  "formula": "GeSb2Pt2",
  "functional": "PBE",
  "state": "relaxed",
  "cell": [[7.556, 0.000, 0.000], [0.000, 7.556, 0.000], [0.000, 0.000, 3.610]],
  "species": ["Pt", "Pt", "Pt", "Pt", "Sb", "Sb", "Sb", "Sb", "Ge", "Ge"],
  "frac_coords": [[0.367, 0.867, 0.000], [0.867, 0.633, 0.000], [0.633, 0.133, 0.000], [0.133, 0.367, 0.000], [0.834, 0.334, 0.500], [0.666, 0.834, 0.500], [0.334, 0.166, 0.500], [0.166, 0.666, 0.500], [0.000, 0.000, 0.000], [0.500, 0.500, 0.000]],
  "dos_ef_per_ev_atom": 0.615,
  "spacegroup": "No. 127"
}


Number 1: uncorrected formation energy 16.6 kJ per mole of atoms, magnetization 0.000 μB/atom, final energy -22.66 eV for the cell shown. Number 2: uncorrected formation energy 22.7 kJ per mole of atoms, magnetization 0.000 μB/atom, final energy -44.69 eV for the cell shown. Number 3: uncorrected formation energy 21.5 kJ per mole of atoms, magnetization 0.000 μB/atom, final energy -22.90 eV for the cell shown. Number 4: uncorrected formation energy -7.2 kJ per mole of atoms, magnetization 0.000 μB/atom, final energy -50.63 eV for the cell shown.